# 1
## LiZr (GGA-PBE)

Data for a relaxed LiZr crystal.

Calculated values
- ΔE to the lowest computed polymorph: 0.233 eV per atom
- SG: Pmma

a = 4.859 Å, b = 3.115 Å, c = 4.883 Å
α = 90.00°, β = 90.00°, γ = 90.00°
Fractional coordinates of all 4 atoms:
Li 0.250 0.000 0.236
Li 0.750 0.000 0.764
Zr 0.250 0.500 0.741
Zr 0.750 0.500 0.259

***

# 2
## Ge3As2Pt2 (GGA-PBE)

Data for a relaxed Ge3As2Pt2 crystal.

Calculated values
- E_tot: -5.15 eV/atom
- SG: R3m

a = 9.330 Å, b = 9.330 Å, c = 9.330 Å
α = 25.55°, β = 25.55°, γ = 25.55°
Fractional coordinates of all 7 atoms:
Ge 0.000 0.000 0.000
Ge 0.257 0.257 0.257
Ge 0.723 0.723 0.723
As 0.447 0.447 0.447
As 0.858 0.858 0.858
Pt 0.157 0.157 0.157
Pt 0.627 0.627 0.627

***

# 3
## AlHg5O4 (GGA-PBE)

Data for a relaxed AlHg5O4 crystal.

Calculated values
- ΔE to the lowest computed polymorph: 0.000 eV per atom
- SG: P1

a = 3.167 Å, b = 5.800 Å, c = 10.533 Å
α = 75.62°, β = 89.23°, γ = 76.79°
Fractional coordinates of all 10 atoms:
Al 0.000 0.000 0.000
Hg 0.142 0.689 0.337
Hg 0.357 0.324 0.210
Hg 0.403 0.216 0.672
Hg 0.492 0.594 0.859
Hg 0.543 0.891 0.520
O 0.136 0.677 0.014
O 0.457 0.111 0.923
O 0.770 0.512 0.693
O 0.956 0.066 0.157

***

# 4
## RbHfAu3Se4 (GGA-PBE)

Data for a relaxed RbHfAu3Se4 crystal.

Calculated values
- ΔE to the lowest computed polymorph: 0.006 eV per atom
- SG: P-43m

a = 6.455 Å, b = 6.455 Å, c = 6.455 Å
α = 90.00°, β = 90.00°, γ = 90.00°
Fractional coordinates of all 9 atoms:
Rb 0.000 0.000 0.000
Hf 0.500 0.500 0.500
Au 0.000 0.500 0.500
Au 0.500 0.000 0.500
Au 0.500 0.500 0.000
Se 0.275 0.275 0.275
Se 0.275 0.725 0.725
Se 0.725 0.275 0.725
Se 0.725 0.725 0.275

***

# 5
## MgAg (GGA-PBE)

Data for a relaxed MgAg crystal.

Calculated values
- E_tot: -2.44 eV/atom
- SG: Pm-3m

a = 3.321 Å, b = 3.321 Å, c = 3.321 Å
α = 90.00°, β = 90.00°, γ = 90.00°
Fractional coordinates of all 2 atoms:
Mg 0.000 0.000 0.000
Ag 0.500 0.500 0.500

***

# 6
## ThCd2Sn (GGA-PBE)

Data for a relaxed ThCd2Sn crystal.

Calculated values
- E_tot: -3.62 eV/atom
- SG: P4/mmm

a = 4.581 Å, b = 4.581 Å, c = 4.953 Å
α = 90.00°, β = 90.00°, γ = 90.00°
Fractional coordinates of all 4 atoms:
Th 0.000 0.000 0.000
Cd 0.000 0.500 0.500
Cd 0.500 0.000 0.500
Sn 0.500 0.500 0.000

***

In Å³/cell, the V values for the records above are, in order, 73.9, 133.0, 182.3, 269.0, 36.6, 103.9.